Entry from Alexandria via LeMat-Bulk: La2Ta at its PBEsol-relaxed geometry (SCAN).

Lattice parameters (Å, degrees): 3.2724 3.2724 8.1450 90.00 90.00 120.00
Atoms (fractional coordinates):
La1 0.3333 0.6667 0.1803
La2 0.6667 0.3333 0.8197
Ta1 0.0000 0.0000 0.5000

The formation energy comes out at 13.3 kcal/mol of atoms. Its space group is P-3m1 (164).